! GGA-PBE Zn2Se, relaxed; values from VASP
! Uncorrected formation energy, kJ/mol of formula units: 19
! Distance to the lowest polymorph of the same formula, meV per atom: 256
! VASP energy, eV per formula unit: -5.84
&SYSTEM
  ibrav = 0, nat = 3, ntyp = 2
/
ATOMIC_SPECIES
Zn 65.41 Zn.upf
Se 78.96 Se.upf
CELL_PARAMETERS angstrom
-1.871 1.871 4.019
1.871 -1.871 4.019
1.871 1.871 -4.019
ATOMIC_POSITIONS crystal
Zn 0.164 0.164 0.000
Zn 0.836 0.836 0.000
Se 0.500 0.500 0.000